MgTl2Pb: relaxed, PBE-GGA.

- DOS(E_F): 2.012 states/eV/f.u.
- Total magnetization: 0.00 μB/cell
- Energy of formation: 15.7 meV per atom

Unit cell a=3.6026 b=5.6434 c=11.2292 alpha=90.00 beta=90.00 gamma=90.00
Space group Imm2 (No. 44)
Unique sites:
Mg: 0.0000 0.0000 0.0000 x2
Tl: 0.0000 0.0000 0.5045 x2
Tl: 0.0000 0.5000 0.2681 x2
Pb: 0.0000 0.5000 0.7353 x2

***

Mg2Tl6Pb: relaxed, PBE-GGA.

- DOS(E_F): 4.692 states/eV/f.u.
- ΔE to the lowest computed polymorph: 30 meV/atom
- Total magnetization: 0.00 μB/cell
- Energy of formation: 28.4 meV per atom

Unit cell a=15.6571 b=3.5007 c=11.2599 alpha=90.00 beta=120.92 gamma=90.00
Space group C2/m (No. 12)
Unique sites:
Mg: 0.1339 0.0000 0.2601 x4
Tl: 0.0393 0.5000 0.7064 x4
Tl: 0.1679 0.0000 0.5516 x4
Tl: 0.2376 0.5000 0.1117 x4
Pb: 0.0000 0.5000 0.0000 x2

***

Mg2Tl2Pb7: relaxed, PBE-GGA.

- DOS(E_F): 6.216 states/eV/f.u.
- ΔE to the lowest computed polymorph: 0 meV/atom
- Total magnetization: 0.00 μB/cell
- Energy of formation: 18.0 meV per atom

Unit cell a=4.9902 b=15.2972 c=8.7224 alpha=90.00 beta=90.00 gamma=90.00
Space group Imm2 (No. 44)
Unique sites:
Mg: 0.0000 0.1924 0.0000 x4
Tl: 0.0000 0.0000 0.8145 x2
Tl: 0.0000 0.5000 0.0114 x2
Pb: 0.0000 0.0000 0.2062 x2
Pb: 0.0000 0.1537 0.5051 x4
Pb: 0.0000 0.3335 0.2796 x4
Pb: 0.0000 0.3456 0.7205 x4

***

Mg5Tl2Pb: relaxed, PBE-GGA.

- DOS(E_F): 3.744 states/eV/f.u.
- Total magnetization: 0.00 μB/cell
- Energy of formation: -31.0 meV per atom

Unit cell a=6.6500 b=6.7502 c=8.7610 alpha=90.00 beta=90.00 gamma=90.00
Space group Immm (No. 71)
Unique sites:
Mg: 0.0000 0.0000 0.0000 x2
Mg: 0.2500 0.2500 0.2500 x8
Tl: 0.0000 0.0000 0.5000 x2
Tl: 0.0000 0.5000 0.0000 x2
Pb: 0.0000 0.5000 0.5000 x2

***

Copy entry 4 word for word.
Mg5Tl2Pb: relaxed, PBE-GGA.

- DOS(E_F): 3.744 states/eV/f.u.
- Total magnetization: 0.00 μB/cell
- Energy of formation: -31.0 meV per atom

Unit cell a=6.6500 b=6.7502 c=8.7610 alpha=90.00 beta=90.00 gamma=90.00
Space group Immm (No. 71)
Unique sites:
Mg: 0.0000 0.0000 0.0000 x2
Mg: 0.2500 0.2500 0.2500 x8
Tl: 0.0000 0.0000 0.5000 x2
Tl: 0.0000 0.5000 0.0000 x2
Pb: 0.0000 0.5000 0.5000 x2